*P*
Below is a relaxed structure of AgPdAu3, with properties calculated at the PBE level.

a = 6.9544 Å, b = 6.9544 Å, c = 8.7851 Å
α = 101.32°, β = 101.32°, γ = 114.12°
Last column: nearest neighbours and their distance in Å.
Fractional positions:
Au 0.2344 0.3187 0.4290  3 Pd 2.74-2.84, 5 Au 2.77-2.92, 2 Ag 2.78-2.85
Au 0.1916 0.0030 0.6009  5 Au 2.77-2.88, 2 Ag 2.81-2.89, 3 Pd 2.92-3.09
Au 0.0030 0.1916 0.1009  5 Au 2.77-2.88, 2 Ag 2.81-2.89, 3 Pd 2.92-3.09
Au 0.5149 0.0779 0.1705  2 Pd 2.82-2.84, 5 Au 2.88-2.92, 2 Ag 2.94-2.96
Ag 0.7706 0.4025 0.9726  6 Au 2.78-2.96, 1 Ag 2.80, 2 Pd 2.89-2.92
Pd 0.4915 0.5085 0.7500  6 Au 2.74-2.84, 2 Ag 2.89
Ag 0.5975 0.2294 0.5274  6 Au 2.78-2.96, 1 Ag 2.80, 2 Pd 2.89-2.92
Au 0.4851 0.9221 0.8295  2 Pd 2.82-2.84, 5 Au 2.88-2.92, 2 Ag 2.94-2.96
Ag 0.4025 0.7706 0.4726  6 Au 2.78-2.96, 1 Ag 2.80, 2 Pd 2.89-2.92
Au 0.6813 0.7656 0.0710  3 Pd 2.74-2.84, 5 Au 2.77-2.92, 2 Ag 2.78-2.85
Au 0.8084 0.9970 0.3991  5 Au 2.77-2.88, 2 Ag 2.81-2.89, 3 Pd 2.92-3.09
Pd 0.5085 0.4915 0.2500  6 Au 2.74-2.84, 2 Ag 2.89
Au 0.3187 0.2344 0.9290  3 Pd 2.74-2.84, 5 Au 2.77-2.92, 2 Ag 2.78-2.85
Pd 0.8795 0.1205 0.7500  8 Au 2.82-3.04, 2 Ag 2.92
Pd 0.1205 0.8795 0.2500  8 Au 2.82-3.04, 2 Ag 2.92
Au 0.0779 0.5149 0.6705  2 Pd 2.82-2.84, 5 Au 2.88-2.92, 2 Ag 2.94-2.96
Au 0.9221 0.4851 0.3295  2 Pd 2.82-2.84, 5 Au 2.88-2.92, 2 Ag 2.94-2.96
Ag 0.2294 0.5975 0.0274  6 Au 2.78-2.96, 1 Ag 2.80, 2 Pd 2.89-2.92
Au 0.7656 0.6813 0.5710  3 Pd 2.74-2.84, 5 Au 2.77-2.92, 2 Ag 2.78-2.85
Au 0.9970 0.8084 0.8991  5 Au 2.77-2.88, 2 Ag 2.81-2.89, 3 Pd 2.92-3.09

* space-group type: C2/c, No. 15
* crystal system: monoclinic
* M_tot: 0.00 μB/f.u.

*Q*
Below is a relaxed structure of AgPdAu3, with properties calculated at the PBE level.

a = 5.0342 Å, b = 5.0342 Å, c = 5.0342 Å
α = 90.00°, β = 90.00°, γ = 90.00°
Last column: nearest neighbours and their distance in Å.
Fractional positions:
Au 0.0000 0.0000 0.5000  2 Pd 2.52
Au 0.5000 0.0000 0.0000  2 Pd 2.52
Ag 0.5000 0.5000 0.5000  12 Au 3.56
Au 0.0000 0.5000 0.0000  2 Pd 2.52
Pd 0.0000 0.0000 0.0000  6 Au 2.52

* space-group type: Pm-3m, No. 221
* crystal system: cubic
* M_tot: 0.00 μB/f.u.

It is *P* that is the most stable of them.

*P*
Below is a relaxed structure of Ag5Pd5Au, with properties calculated at the PBE level.

a = 5.0299 Å, b = 5.0299 Å, c = 9.4925 Å
α = 90.00°, β = 90.00°, γ = 120.00°
Last column: nearest neighbours and their distance in Å.
Fractional positions:
Ag 0.3333 0.6667 0.6801  9 Pd 2.95-3.04, 1 Au 3.04, 3 Ag 3.09
Pd 0.0000 0.0000 0.7336  1 Ag 2.53, 3 Pd 2.66
Pd 0.8314 0.6628 0.5000  6 Pd 2.49-2.66
Pd 0.3372 0.1686 0.5000  6 Pd 2.49-2.66
Pd 0.0000 0.0000 0.2664  1 Ag 2.53, 3 Pd 2.66
Pd 0.8314 0.1686 0.5000  6 Pd 2.49-2.66
Ag 0.3333 0.6667 0.3199  9 Pd 2.95-3.04, 1 Au 3.04, 3 Ag 3.09
Au 0.3333 0.6667 0.0000  5 Ag 2.90-3.04
Ag 0.6667 0.3333 0.2072  6 Pd 2.96-3.13, 3 Ag 3.09
Ag 0.6667 0.3333 0.7928  6 Pd 2.96-3.13, 3 Ag 3.09
Ag 0.0000 0.0000 0.0000  2 Pd 2.53

* space-group type: P-6m2, No. 187
* crystal system: hexagonal
* M_tot: 0.00 μB/f.u.

*Q*
Below is a relaxed structure of Ag5Pd5Au, with properties calculated at the PBE level.

a = 5.3155 Å, b = 5.1829 Å, c = 7.0819 Å
α = 82.64°, β = 82.13°, γ = 94.71°
Last column: nearest neighbours and their distance in Å.
Fractional positions:
Pd 0.5969 0.7321 0.3686  5 Ag 2.71-3.02, 4 Pd 2.75-2.88
Ag 0.5000 0.0000 0.0000  2 Au 2.66, 4 Ag 2.79-2.81, 4 Pd 2.82-2.93
Ag 0.7074 0.2599 0.2739  7 Pd 2.71-3.02, 3 Ag 2.79-3.01, 1 Au 2.86
Pd 0.0000 0.5000 0.5000  4 Ag 2.72-2.81, 6 Pd 2.75-3.04
Au 0.0000 0.0000 0.0000  4 Ag 2.66-2.86, 2 Pd 2.77
Ag 0.7568 0.5013 0.8774  3 Pd 2.78-3.02, 5 Ag 2.81-3.11, 2 Au 3.07-3.08
Pd 0.8229 0.9882 0.6512  4 Pd 2.63-2.88, 1 Au 2.77, 3 Ag 2.78-2.95
Ag 0.2432 0.4987 0.1226  3 Pd 2.78-3.02, 5 Ag 2.81-3.11, 2 Au 3.07-3.08
Ag 0.2926 0.7401 0.7261  7 Pd 2.71-3.02, 3 Ag 2.79-3.01, 1 Au 2.86
Pd 0.4031 0.2679 0.6314  5 Ag 2.71-3.02, 4 Pd 2.75-2.88
Pd 0.1771 0.0118 0.3488  4 Pd 2.63-2.88, 1 Au 2.77, 3 Ag 2.78-2.95

* space-group type: P-1, No. 2
* crystal system: triclinic
* M_tot: 0.00 μB/f.u.

It is *Q* that is the most stable of them.